(1)
An optimized crystal structure of BaNb3Fe, computed with PBEsol.

abc: 4.9707 4.9707 4.9707
angles: 90.00 90.00 90.00
Space group Pm-3m (No. 221)
Symmetry-distinct sites (fractional):
Ba 0.0000 0.0000 0.0000 x1
Nb 0.0000 0.0000 0.5000 x3
Fe 0.5000 0.5000 0.5000 x1

- Density of states at the Fermi level: 7.09 states/eV per cell
- Energy of formation from the pure elements: 14.32 eV/f.u.
- Calculated volume: 122.8 Å³/f.u.
- Calculated total energy: -29.252 eV per cell
- Spin magnetization: 3.2 μB/cell

---

(2)
An optimized crystal structure of BaNb4Fe2O14, computed with PBEsol.

abc: 6.2676 6.6161 8.7665
angles: 68.19 76.75 83.58
Space group P-1 (No. 2)
Symmetry-distinct sites (fractional):
Ba 0.0000 0.0000 0.0000 x1
Nb 0.2966 0.8460 0.6379 x2
Nb 0.4725 0.6403 0.2066 x2
Fe 0.3028 0.1551 0.2171 x2
O 0.0016 0.8379 0.7291 x2
O 0.2829 0.8583 0.2545 x2
O 0.3061 0.4556 0.1750 x2
O 0.3203 0.2294 0.9866 x2
O 0.3306 0.1008 0.4385 x2
O 0.3588 0.5526 0.6343 x2
O 0.3810 0.8807 0.8211 x2

- Density of states at the Fermi level: 11.88 states/eV per cell
- Formation energy (no corrections): -2.132 eV per atom
- Calculated volume: 328.4 Å³/f.u.
- Calculated total energy: -181.631 eV per cell
- Spin magnetization: 2.0 μB/cell

---

(3)
An optimized crystal structure of BaNdFe2O5, computed with PBEsol.

abc: 3.8938 3.8938 7.4493
angles: 90.00 90.00 90.00
Space group P4/mmm (No. 123)
Symmetry-distinct sites (fractional):
Ba 0.0000 0.0000 0.0000 x1
Nd 0.0000 0.0000 0.5000 x1
Fe 0.5000 0.5000 0.2678 x2
O 0.0000 0.5000 0.2961 x4
O 0.5000 0.5000 0.0000 x1

- Density of states at the Fermi level: 3.45 states/eV per cell
- Formation energy (no corrections): -2.185 eV per atom
- Calculated volume: 112.9 Å³/f.u.
- Calculated total energy: -71.151 eV per cell
- Spin magnetization: 7.3 μB/cell

---

(4)
An optimized crystal structure of BaNdFe2O6, computed with PBEsol.

abc: 7.6819 7.6819 7.6819
angles: 90.00 90.00 90.00
Space group Fm-3m (No. 225)
Symmetry-distinct sites (fractional):
Ba 0.0000 0.0000 0.0000 x4
Nd 0.0000 0.0000 0.5000 x4
Fe 0.2500 0.2500 0.2500 x8
O 0.0000 0.2500 0.2500 x24

- Density of states at the Fermi level: 12.42 states/eV per cell
- Formation energy (no corrections): -2.156 eV per atom
- Calculated volume: 113.3 Å³/f.u.
- Calculated total energy: -313.210 eV per cell
- Spin magnetization: 25.9 μB/cell

---

(5)
An optimized crystal structure of BaFe2Ni, computed with PBEsol.

abc: 3.1004 3.1004 7.2518
angles: 90.00 90.00 90.00
Space group P4mm (No. 99)
Symmetry-distinct sites (fractional):
Ba 0.0000 0.0000 0.0000 x1
Fe 0.0000 0.0000 0.5129 x1
Fe 0.5000 0.5000 0.3522 x1
Ni 0.5000 0.5000 0.6709 x1

- Density of states at the Fermi level: 4.44 states/eV per cell
- Energy of formation from the pure elements: 2.24 eV/f.u.
- Calculated volume: 69.7 Å³/f.u.
- Calculated total energy: -23.990 eV per cell
- Spin magnetization: 5.8 μB/cell

---

(6)
An optimized crystal structure of BaFeNi2, computed with PBEsol.

abc: 3.1238 3.1238 7.0757
angles: 90.00 90.00 90.00
Space group P4mm (No. 99)
Symmetry-distinct sites (fractional):
Ba 0.0000 0.0000 0.0000 x1
Fe 0.5000 0.5000 0.3667 x1
Ni 0.0000 0.0000 0.5041 x1
Ni 0.5000 0.5000 0.6826 x1

- Density of states at the Fermi level: 4.57 states/eV per cell
- Energy of formation from the pure elements: 2.09 eV/f.u.
- Calculated volume: 69.0 Å³/f.u.
- Calculated total energy: -21.341 eV per cell
- Polymorph energy (0 for the lowest one): 0.0 meV per atom
- Spin magnetization: 3.7 μB/cell

---

(7)
An optimized crystal structure of BaFeNi2, computed with PBEsol.

abc: 6.3887 6.3887 6.3887
angles: 90.00 90.00 90.00
Space group F-43m (No. 216)
Symmetry-distinct sites (fractional):
Ba 0.0000 0.0000 0.0000 x4
Fe 0.2500 0.2500 0.2500 x4
Ni 0.0000 0.0000 0.5000 x4
Ni 0.2500 0.2500 0.7500 x4

- Density of states at the Fermi level: 15.65 states/eV per cell
- Energy of formation from the pure elements: 3.62 eV/f.u.
- Calculated volume: 65.2 Å³/f.u.
- Calculated total energy: -79.211 eV per cell
- Polymorph energy (0 for the lowest one): 384.5 meV per atom
- Spin magnetization: 10.4 μB/cell

---

(8)
An optimized crystal structure of BaFeNi2, computed with PBEsol.

abc: 3.9182 5.6076 7.1778
angles: 90.00 90.00 90.00
Space group Immm (No. 71)
Symmetry-distinct sites (fractional):
Ba 0.0000 0.0000 0.0000 x2
Fe 0.0000 0.0000 0.5000 x2
Ni 0.0000 0.5000 0.1728 x4

- Density of states at the Fermi level: 9.35 states/eV per cell
- Energy of formation from the pure elements: 2.71 eV/f.u.
- Calculated volume: 78.9 Å³/f.u.
- Calculated total energy: -41.438 eV per cell
- Polymorph energy (0 for the lowest one): 155.4 meV per atom
- Spin magnetization: 7.1 μB/cell

---

(9)
An optimized crystal structure of Ba2Fe2O5, computed with PBEsol.

abc: 5.7059 15.5592 5.7397
angles: 90.00 90.00 90.00
Space group Imma (No. 74)
Symmetry-distinct sites (fractional):
Ba 0.0000 0.1180 0.0035 x8
Fe 0.0000 0.0000 0.5000 x4
Fe 0.0000 0.2500 0.4542 x4
O 0.0000 0.1390 0.5449 x8
O 0.2500 0.0050 0.2500 x8
O 0.2500 0.2500 0.2500 x4

- Density of states at the Fermi level: 12.13 states/eV per cell
- Formation energy (no corrections): -1.939 eV per atom
- Calculated volume: 127.4 Å³/f.u.
- Calculated total energy: -263.686 eV per cell
- Spin magnetization: 0.6 μB/cell

---

(10)
An optimized crystal structure of Ba2Fe2O5, computed with PBEsol.

abc: 3.8808 3.8808 8.0580
angles: 90.00 90.00 90.00
Space group P4/mmm (No. 123)
Symmetry-distinct sites (fractional):
Ba 0.0000 0.0000 0.0000 x1
Ba 0.0000 0.0000 0.5000 x1
Fe 0.5000 0.5000 0.2375 x2
O 0.0000 0.5000 0.2627 x4
O 0.5000 0.5000 0.0000 x1

- Density of states at the Fermi level: 3.34 states/eV per cell
- Formation energy (no corrections): -1.917 eV per atom
- Calculated volume: 121.4 Å³/f.u.
- Calculated total energy: -65.727 eV per cell
- Spin magnetization: 7.2 μB/cell

---

(11)
An optimized crystal structure of BaFe2S2O, computed with PBEsol.

abc: 3.8562 9.4509 6.4670
angles: 90.00 90.00 90.00
Space group Pmmn (No. 59, origin choice 2)
Symmetry-distinct sites (fractional):
Ba 0.2500 0.2500 0.0034 x2
Fe 0.2500 0.5671 0.3880 x4
S 0.2500 0.5418 0.7418 x4
O 0.2500 0.7500 0.2717 x2

- Density of states at the Fermi level: 11.17 states/eV per cell
- Formation energy (no corrections): -1.127 eV per atom
- Calculated volume: 117.8 Å³/f.u.
- Calculated total energy: -81.708 eV per cell
- Spin magnetization: 15.4 μB/cell

---

(12)
An optimized crystal structure of Ba2SmFeO6, computed with PBEsol.

abc: 8.2399 8.2399 8.2399
angles: 90.00 90.00 90.00
Space group Fm-3m (No. 225)
Symmetry-distinct sites (fractional):
Ba 0.2500 0.2500 0.2500 x8
Sm 0.0000 0.0000 0.0000 x4
Fe 0.0000 0.0000 0.5000 x4
O 0.0000 0.0000 0.2742 x24

- Density of states at the Fermi level: 0.29 states/eV per cell
- Formation energy (no corrections): -2.451 eV per atom
- Calculated volume: 139.9 Å³/f.u.
- Calculated total energy: -297.440 eV per cell
- Spin magnetization: 12.1 μB/cell